# 1
A geometry-optimized TcHgCl2 structure. Source: Alexandria via LeMat-Bulk, functional GGA-PBE.

Calculated values
Calculated volume in Å³ per atom: 22.8
Formation energy without anion corrections in eV per formula unit: 2.032
M_tot in μB per cell: 4.703
Energy relative to the lowest polymorph listed for this composition in meV per atom: 654
Space group: I4/mmm
Raw total energy in eV per atom: -3.082

Geometry as POSCAR:
```
TcHgCl2
1.0
-2.4163 2.4163 3.9048
2.4163 -2.4163 3.9048
2.4163 2.4163 -3.9048
Tc Hg Cl
1 1 2
Cartesian
0.0000 0.0000 0.0000
0.0000 0.0000 3.9048
2.4163 0.0000 1.9524
0.0000 2.4163 1.9524
```


# 2
A geometry-optimized LiHo2Ru structure. Source: Alexandria via LeMat-Bulk, functional GGA-PBE.

Calculated values
Calculated volume in Å³ per atom: 20.6
M_tot in μB per cell: 0.000
Energy relative to the lowest polymorph listed for this composition in meV per atom: 0
Space group: Fm-3m
Raw total energy in eV per atom: -5.386

Geometry as POSCAR:
```
LiHo2Ru
1.0
0.0000 3.4546 3.4546
3.4546 0.0000 3.4546
3.4546 3.4546 0.0000
Li Ho Ru
1 2 1
Cartesian
0.0000 0.0000 0.0000
1.7273 1.7273 1.7273
5.1818 5.1818 5.1818
3.4546 3.4546 3.4546
```


# 3
A geometry-optimized Sr2Hg structure. Source: Alexandria via LeMat-Bulk, functional GGA-PBE.

Calculated values
Calculated volume in Å³ per atom: 43.8
M_tot in μB per cell: 0.000
Space group: Pa-3
Raw total energy in eV per atom: -1.527

Geometry as POSCAR:
```
Sr2Hg
1.0
8.0672 0.0000 0.0000
0.0000 8.0672 0.0000
0.0000 0.0000 8.0672
Sr Hg
8 4
Cartesian
1.2438 1.2438 1.2438
1.2438 2.7899 5.2774
2.7899 5.2774 1.2438
2.7899 6.8235 5.2774
5.2774 1.2438 2.7899
5.2774 2.7899 6.8235
6.8235 5.2774 2.7899
6.8235 6.8235 6.8235
0.0000 0.0000 4.0336
0.0000 4.0336 0.0000
4.0336 0.0000 0.0000
4.0336 4.0336 4.0336
```


M_tot of number 3 (Sr2Hg)?
0.000 μB per cell


raw total energy of number 2 (LiHo2Ru)?
-5.386 eV per atom


M_tot of number 2 (LiHo2Ru)?
0.000 μB per cell


Number 2 is which compound?
LiHo2Ru